## P
Below is an optimized crystal structure of NdBeAs, with properties calculated at the PBE level.

Calculated values
M_tot (μB per atom): 0.00
V (A^3/atom): 18.943
SG: P-6m2

a = 3.891 Å, b = 3.891 Å, c = 4.334 Å
α = 90.00°, β = 90.00°, γ = 120.00°
Element x y z (fractional)
Nd 0.000 0.000 0.000
Be 0.333 0.667 0.500
As 0.667 0.333 0.500

***

## Q
Below is an optimized crystal structure of NdBeAs, with properties calculated at the PBE level.

Calculated values
M_tot (μB per atom): 0.00
V (A^3/atom): 25.052
SG: R-3m

a = 7.890 Å, b = 7.890 Å, c = 7.890 Å
α = 35.80°, β = 35.80°, γ = 35.80°
Element x y z (fractional)
Nd 0.089 0.089 0.089
Nd 0.911 0.911 0.911
Be 0.321 0.321 0.321
Be 0.679 0.679 0.679
As 0.221 0.221 0.221
As 0.779 0.779 0.779

***

Which of them is the most stable, and which is the least stable? P and Q, in that order.